Entry 1
The following is a DFT calculation (GGA-PBE) of a geometry-optimized Nb2CuHRh structure. Values from VASP.

Output
* symmetry: P4/mmm
* magnetic moment: 0.00 μB per atom

```
&SYSTEM
  ibrav = 0, nat = 5, ntyp = 4
/
ATOMIC_SPECIES
Nb 92.91 Nb.upf
Cu 63.55 Cu.upf
H 1.01 H.upf
Rh 102.91 Rh.upf
ATOMIC_POSITIONS angstrom
Nb 0.000 2.025 0.000
Nb 2.025 0.000 0.000
Cu 0.000 0.000 1.974
H 0.000 0.000 0.000
Rh 2.025 2.025 1.974
CELL_PARAMETERS angstrom
4.051 0.000 0.000
0.000 4.051 0.000
0.000 0.000 3.947
```

Entry 2
The following is a DFT calculation (GGA-PBE) of a geometry-optimized Nb2CuHRh structure. Values from VASP.

Output
* symmetry: P4/mmm
* magnetic moment: 0.00 μB per atom

```
&SYSTEM
  ibrav = 0, nat = 5, ntyp = 4
/
ATOMIC_SPECIES
Nb 92.91 Nb.upf
Cu 63.55 Cu.upf
H 1.01 H.upf
Rh 102.91 Rh.upf
ATOMIC_POSITIONS angstrom
Nb 0.000 2.031 0.000
Nb 2.031 0.000 0.000
Cu 0.000 0.000 1.979
H 2.031 2.031 0.000
Rh 2.031 2.031 1.979
CELL_PARAMETERS angstrom
4.062 0.000 0.000
0.000 4.062 0.000
0.000 0.000 3.958
```

Which one sits at the bottom of the stability order? entry 2 does.

Entry 1
The following is a DFT calculation (GGA-PBE) of a geometry-optimized NbCuHRu2 structure. Values from VASP.

Output
* symmetry: P4/mmm
* magnetic moment: 0.00 μB per atom

```
&SYSTEM
  ibrav = 0, nat = 5, ntyp = 4
/
ATOMIC_SPECIES
Nb 92.91 Nb.upf
Cu 63.55 Cu.upf
H 1.01 H.upf
Ru 101.07 Ru.upf
ATOMIC_POSITIONS angstrom
Nb 0.000 0.000 0.000
Cu 2.017 2.017 0.000
H 2.017 2.017 1.838
Ru 0.000 2.017 1.838
Ru 2.017 0.000 1.838
CELL_PARAMETERS angstrom
4.034 0.000 0.000
0.000 4.034 0.000
0.000 0.000 3.676
```

Entry 2
The following is a DFT calculation (GGA-PBE) of a geometry-optimized NbCuHRu2 structure. Values from VASP.

Output
* symmetry: P4/mmm
* magnetic moment: 0.00 μB per atom

```
&SYSTEM
  ibrav = 0, nat = 5, ntyp = 4
/
ATOMIC_SPECIES
Nb 92.91 Nb.upf
Cu 63.55 Cu.upf
H 1.01 H.upf
Ru 101.07 Ru.upf
ATOMIC_POSITIONS angstrom
Nb 0.000 0.000 0.000
Cu 1.963 1.963 0.000
H 0.000 0.000 1.966
Ru 0.000 1.963 1.966
Ru 1.963 0.000 1.966
CELL_PARAMETERS angstrom
3.926 0.000 0.000
0.000 3.926 0.000
0.000 0.000 3.933
```

Which one sits at the bottom of the stability order? entry 2 does.

Entry 1
The following is a DFT calculation (GGA-PBE) of a geometry-optimized NbCuTc2H structure. Values from VASP.

Output
* symmetry: P4/mmm
* magnetic moment: 0.00 μB per atom

```
&SYSTEM
  ibrav = 0, nat = 5, ntyp = 4
/
ATOMIC_SPECIES
Nb 92.91 Nb.upf
Cu 63.55 Cu.upf
Tc 98.00 Tc.upf
H 1.01 H.upf
ATOMIC_POSITIONS angstrom
Nb 0.000 0.000 0.000
Cu 2.032 2.032 0.000
Tc 0.000 2.032 1.850
Tc 2.032 0.000 1.850
H 2.032 2.032 1.850
CELL_PARAMETERS angstrom
4.064 0.000 0.000
0.000 4.064 0.000
0.000 0.000 3.700
```

Entry 2
The following is a DFT calculation (GGA-PBE) of a geometry-optimized NbCuTc2H structure. Values from VASP.

Output
* symmetry: P4/mmm
* magnetic moment: 0.00 μB per atom

```
&SYSTEM
  ibrav = 0, nat = 5, ntyp = 4
/
ATOMIC_SPECIES
Nb 92.91 Nb.upf
Cu 63.55 Cu.upf
Tc 98.00 Tc.upf
H 1.01 H.upf
ATOMIC_POSITIONS angstrom
Nb 0.000 0.000 0.000
Cu 1.968 1.968 0.000
Tc 0.000 1.968 1.995
Tc 1.968 0.000 1.995
H 0.000 0.000 1.995
CELL_PARAMETERS angstrom
3.936 0.000 0.000
0.000 3.936 0.000
0.000 0.000 3.989
```

Which one sits at the bottom of the stability order? entry 2 does.

Entry 1
The following is a DFT calculation (GGA-PBE) of a geometry-optimized TiNb2CuH structure. Values from VASP.

Output
* symmetry: P4/mmm
* magnetic moment: 0.00 μB per atom

```
&SYSTEM
  ibrav = 0, nat = 5, ntyp = 4
/
ATOMIC_SPECIES
Ti 47.87 Ti.upf
Nb 92.91 Nb.upf
Cu 63.55 Cu.upf
H 1.01 H.upf
ATOMIC_POSITIONS angstrom
Ti 0.000 0.000 0.000
Nb 0.000 2.041 2.046
Nb 2.041 0.000 2.046
Cu 2.041 2.041 0.000
H 0.000 0.000 2.046
CELL_PARAMETERS angstrom
4.082 0.000 0.000
0.000 4.082 0.000
0.000 0.000 4.092
```

Entry 2
The following is a DFT calculation (GGA-PBE) of a geometry-optimized TiNb2CuH structure. Values from VASP.

Output
* symmetry: P4/mmm
* magnetic moment: 0.00 μB per atom

```
&SYSTEM
  ibrav = 0, nat = 5, ntyp = 4
/
ATOMIC_SPECIES
Ti 47.87 Ti.upf
Nb 92.91 Nb.upf
Cu 63.55 Cu.upf
H 1.01 H.upf
ATOMIC_POSITIONS angstrom
Ti 0.000 0.000 0.000
Nb 0.000 2.118 1.877
Nb 2.118 0.000 1.877
Cu 2.118 2.118 0.000
H 2.118 2.118 1.877
CELL_PARAMETERS angstrom
4.236 0.000 0.000
0.000 4.236 0.000
0.000 0.000 3.754
```

Which one sits at the bottom of the stability order? entry 2 does.

Entry 1
The following is a DFT calculation (GGA-PBE) of a geometry-optimized NbV2CuH structure. Values from VASP.

Output
* symmetry: P4/mmm
* magnetic moment: 0.00 μB per atom

```
&SYSTEM
  ibrav = 0, nat = 5, ntyp = 4
/
ATOMIC_SPECIES
Nb 92.91 Nb.upf
V 50.94 V.upf
Cu 63.55 Cu.upf
H 1.01 H.upf
ATOMIC_POSITIONS angstrom
Nb 0.000 0.000 0.000
V 0.000 2.061 1.739
V 2.061 0.000 1.739
Cu 2.061 2.061 0.000
H 2.061 2.061 1.739
CELL_PARAMETERS angstrom
4.123 0.000 0.000
0.000 4.123 0.000
0.000 0.000 3.478
```

Entry 2
The following is a DFT calculation (GGA-PBE) of a geometry-optimized NbV2CuH structure. Values from VASP.

Output
* symmetry: P4/mmm
* magnetic moment: 0.00 μB per atom

```
&SYSTEM
  ibrav = 0, nat = 5, ntyp = 4
/
ATOMIC_SPECIES
Nb 92.91 Nb.upf
V 50.94 V.upf
Cu 63.55 Cu.upf
H 1.01 H.upf
ATOMIC_POSITIONS angstrom
Nb 0.000 0.000 0.000
V 0.000 1.898 2.078
V 1.898 0.000 2.078
Cu 1.898 1.898 0.000
H 0.000 0.000 2.078
CELL_PARAMETERS angstrom
3.796 0.000 0.000
0.000 3.796 0.000
0.000 0.000 4.156
```

Which one sits at the bottom of the stability order? entry 1 does.

Entry 1
The following is a DFT calculation (GGA-PBE) of a geometry-optimized Cu3NiH structure. Values from VASP.

Output
* symmetry: Pm-3m
* magnetic moment: 0.00 μB per atom

```
&SYSTEM
  ibrav = 0, nat = 5, ntyp = 3
/
ATOMIC_SPECIES
Cu 63.55 Cu.upf
Ni 58.69 Ni.upf
H 1.01 H.upf
ATOMIC_POSITIONS angstrom
Cu 0.000 0.000 1.832
Cu 0.000 1.832 0.000
Cu 1.832 0.000 0.000
Ni 1.832 1.832 1.832
H 0.000 0.000 0.000
CELL_PARAMETERS angstrom
3.663 0.000 0.000
0.000 3.663 0.000
0.000 0.000 3.663
```

Entry 2
The following is a DFT calculation (GGA-PBE) of a geometry-optimized Cu3NiH structure. Values from VASP.

Output
* symmetry: Pm-3m
* magnetic moment: 0.04 μB per atom

```
&SYSTEM
  ibrav = 0, nat = 5, ntyp = 3
/
ATOMIC_SPECIES
Cu 63.55 Cu.upf
Ni 58.69 Ni.upf
H 1.01 H.upf
ATOMIC_POSITIONS angstrom
Cu 0.000 0.000 2.201
Cu 0.000 2.201 0.000
Cu 2.201 0.000 0.000
Ni 0.000 0.000 0.000
H 2.201 2.201 2.201
CELL_PARAMETERS angstrom
4.403 0.000 0.000
0.000 4.403 0.000
0.000 0.000 4.403
```

Which one sits at the bottom of the stability order? entry 2 does.